No. 1
Computed, not measured: a relaxed Pu2InPd crystal at the PBE-GGA level of DFT. Values from VASP.

Cell and atoms, written as Quantum ESPRESSO input:
```
&SYSTEM
  ibrav = 0, nat = 4, ntyp = 3
/
ATOMIC_SPECIES
Pd 106.42 Pd.upf
Pu 244.00 Pu.upf
In 114.82 In.upf
CELL_PARAMETERS angstrom
3.223 0.000 0.000
1.612 2.792 0.000
1.612 0.931 11.190
ATOMIC_POSITIONS angstrom
Pd 3.223 1.861 5.595
Pu 1.612 0.931 7.947
Pu 4.835 2.792 3.243
In 0.000 0.000 0.000
```

Values from the calculation:
* energy above the most stable polymorph in this dataset: 393 meV/atom
* energy relative to the elements: 0.111 eV per atom

---

No. 2
Computed, not measured: a relaxed LaCu2Bi crystal at the PBE-GGA level of DFT. Values from VASP.

Cell and atoms, written as Quantum ESPRESSO input:
```
&SYSTEM
  ibrav = 0, nat = 8, ntyp = 3
/
ATOMIC_SPECIES
Cu 63.55 Cu.upf
La 138.91 La.upf
Bi 208.98 Bi.upf
CELL_PARAMETERS angstrom
4.725 0.000 0.000
0.000 4.725 0.000
2.363 2.363 9.438
ATOMIC_POSITIONS angstrom
Cu 3.544 2.737 7.079
La 2.363 2.363 0.000
Bi 0.000 0.000 0.000
Cu 4.351 1.181 2.360
Cu 5.099 3.544 2.360
Bi 4.725 2.363 4.719
Cu 5.907 1.989 7.079
La 2.363 4.725 4.719
```

Values from the calculation:
* energy relative to the elements: -0.049 eV per atom

---

No. 3
Computed, not measured: a relaxed HfMg2Zn8 crystal at the PBE-GGA level of DFT. Values from VASP.

Cell and atoms, written as Quantum ESPRESSO input:
```
&SYSTEM
  ibrav = 0, nat = 11, ntyp = 3
/
ATOMIC_SPECIES
Mg 24.30 Mg.upf
Zn 65.41 Zn.upf
Hf 178.49 Hf.upf
CELL_PARAMETERS angstrom
3.143 0.461 0.224
0.710 7.692 -2.923
1.140 -0.619 8.157
ATOMIC_POSITIONS angstrom
Mg 0.974 2.591 3.877
Zn 2.617 1.439 5.833
Mg 0.876 4.482 1.357
Zn 2.217 4.179 6.030
Zn 2.069 7.038 2.217
Hf 1.571 0.231 0.112
Zn 2.376 6.096 -0.375
Zn 2.224 5.142 3.771
Zn 2.924 0.496 3.240
Zn 2.776 3.356 -0.572
Zn 2.769 2.393 1.687
```

Values from the calculation:
* energy relative to the elements: -0.013 eV per atom

---

No. 4
Computed, not measured: a relaxed Nd6BiP3S2 crystal at the PBE-GGA level of DFT. Values from VASP.

Cell and atoms, written as Quantum ESPRESSO input:
```
&SYSTEM
  ibrav = 0, nat = 12, ntyp = 4
/
ATOMIC_SPECIES
S 32.06 S.upf
Nd 144.24 Nd.upf
P 30.97 P.upf
Bi 208.98 Bi.upf
CELL_PARAMETERS angstrom
4.204 0.000 0.000
0.000 8.475 0.269
-2.102 -2.478 8.868
ATOMIC_POSITIONS angstrom
S 0.000 2.019 3.100
Nd 0.000 6.177 0.199
P 2.102 4.238 0.134
Nd 2.102 4.167 3.090
P 2.102 -0.224 5.982
Nd 0.000 1.829 6.047
S 2.102 3.977 6.037
Nd 2.102 -0.168 3.126
Bi 2.102 0.000 0.000
P 0.000 6.221 3.155
Nd 0.000 6.165 6.012
Nd 2.102 -0.180 8.938
```

Values from the calculation:
* total DFT energy (no corrections): -6.3500 eV per atom

---

No. 5
Computed, not measured: a relaxed TlSbC crystal at the PBE-GGA level of DFT. Values from VASP.

Cell and atoms, written as Quantum ESPRESSO input:
```
&SYSTEM
  ibrav = 0, nat = 6, ntyp = 3
/
ATOMIC_SPECIES
C 12.01 C.upf
Tl 204.38 Tl.upf
Sb 121.76 Sb.upf
CELL_PARAMETERS angstrom
4.304 -0.009 -0.011
2.118 5.600 -0.001
2.127 1.542 6.576
ATOMIC_POSITIONS angstrom
C 0.880 1.045 1.419
Tl 2.399 2.177 5.078
Sb 4.514 5.317 2.350
C 3.906 1.044 1.411
Sb 6.668 5.358 4.655
Tl 2.392 3.051 0.710
```

Values from the calculation:
* energy above the most stable polymorph in this dataset: 74 meV/atom

---

No. 6
Computed, not measured: a relaxed Sm2Zn5Cu2Rh crystal at the PBE-GGA level of DFT. Values from VASP.

Cell and atoms, written as Quantum ESPRESSO input:
```
&SYSTEM
  ibrav = 0, nat = 20, ntyp = 4
/
ATOMIC_SPECIES
Zn 65.41 Zn.upf
Cu 63.55 Cu.upf
Sm 150.36 Sm.upf
Rh 102.91 Rh.upf
CELL_PARAMETERS angstrom
-3.646 -1.589 0.779
3.878 -5.907 6.104
-1.259 6.236 6.835
ATOMIC_POSITIONS angstrom
Zn -0.586 0.333 8.483
Zn -1.335 0.817 5.964
Zn 0.088 0.417 11.814
Zn 1.631 -5.204 7.565
Cu 1.232 1.978 9.808
Zn -2.658 3.944 6.152
Zn 0.309 -2.078 7.753
Sm 2.430 -2.892 5.475
Rh 0.000 0.000 0.000
Zn -0.441 -1.593 5.234
Sm 2.287 -0.514 9.658
Zn -2.453 2.323 3.807
Zn 0.116 -3.748 3.441
Zn -1.115 -1.678 1.903
Sm 0.333 0.844 3.280
Sm 0.190 3.221 7.463
Cu 2.968 -2.824 8.131
Cu -0.348 3.153 4.807
Cu 1.387 -1.649 3.130
Rh 1.310 0.165 6.469
```

Values from the calculation:
* energy relative to the elements: -0.248 eV per atom

---

No. 7
Computed, not measured: a relaxed Bi4As2Se3 crystal at the PBE-GGA level of DFT. Values from VASP.

Cell and atoms, written as Quantum ESPRESSO input:
```
&SYSTEM
  ibrav = 0, nat = 9, ntyp = 3
/
ATOMIC_SPECIES
Bi 208.98 Bi.upf
Se 78.96 Se.upf
As 74.92 As.upf
CELL_PARAMETERS angstrom
4.217 0.000 0.005
-2.108 3.652 -0.005
-0.001 0.000 17.328
ATOMIC_POSITIONS angstrom
Bi 2.102 1.221 1.947
Se 2.098 1.223 7.064
Bi -2.098 3.646 11.804
Bi 4.206 0.006 5.524
As -0.006 2.438 3.547
As 2.114 1.214 13.781
Bi 0.005 2.432 15.381
Se 0.010 2.429 10.264
Se 0.000 0.000 0.000
```

Values from the calculation:
* total DFT energy (no corrections): -4.1240 eV per atom

---

No. 8
Computed, not measured: a relaxed K8IO4 crystal at the PBE-GGA level of DFT. Values from VASP.

Cell and atoms, written as Quantum ESPRESSO input:
```
&SYSTEM
  ibrav = 0, nat = 13, ntyp = 3
/
ATOMIC_SPECIES
I 126.90 I.upf
K 39.10 K.upf
O 16.00 O.upf
CELL_PARAMETERS angstrom
-4.653 -6.419 1.610
7.754 -1.055 -2.054
0.782 4.226 8.273
ATOMIC_POSITIONS angstrom
I 4.268 1.586 3.109
K -3.213 -1.827 8.310
K -2.958 -3.666 2.341
O 0.766 -1.846 -0.110
O 4.725 -2.379 -0.914
K 6.840 0.417 5.487
K 3.173 -0.808 0.519
O 2.335 -5.629 -0.335
O -0.843 -0.869 8.743
K 7.095 -1.421 -0.482
K 0.754 -4.154 1.236
K 0.709 -2.440 7.309
K 3.129 0.906 6.592
```

Values from the calculation:
* energy above the most stable polymorph in this dataset: 0 meV/atom

---

No. 9
Computed, not measured: a relaxed CeDy2AlAu4 crystal at the PBE-GGA level of DFT. Values from VASP.

Cell and atoms, written as Quantum ESPRESSO input:
```
&SYSTEM
  ibrav = 0, nat = 8, ntyp = 4
/
ATOMIC_SPECIES
Ce 140.12 Ce.upf
Au 196.97 Au.upf
Al 26.98 Al.upf
Dy 162.50 Dy.upf
CELL_PARAMETERS angstrom
-4.518 -0.964 1.822
-2.997 -3.187 -2.350
0.710 -7.787 4.408
ATOMIC_POSITIONS angstrom
Ce 0.000 0.000 0.000
Au -0.461 -5.455 2.739
Al -3.402 -5.969 1.940
Dy -1.593 -3.200 1.124
Au -6.344 -6.483 1.141
Au -2.365 -8.036 3.420
Dy -5.211 -8.739 2.756
Au -4.440 -3.903 0.461
```

Values from the calculation:
* energy relative to the elements: -0.681 eV per atom

---

No. 10
Computed, not measured: a relaxed Hf5Sb4H3 crystal at the PBE-GGA level of DFT. Values from VASP.

Cell and atoms, written as Quantum ESPRESSO input:
```
&SYSTEM
  ibrav = 0, nat = 12, ntyp = 3
/
ATOMIC_SPECIES
Hf 178.49 Hf.upf
Sb 121.76 Sb.upf
H 1.01 H.upf
CELL_PARAMETERS angstrom
-2.126 1.736 1.916
1.269 -5.236 9.077
5.167 5.482 3.691
ATOMIC_POSITIONS angstrom
Hf 2.155 0.991 7.342
Sb -0.254 2.444 3.351
Hf -0.272 0.283 5.290
H 3.218 0.123 6.384
H 1.152 1.543 5.728
Hf 2.786 5.977 6.449
Sb 2.719 3.814 8.335
H 3.158 0.439 8.956
Hf 4.582 1.699 9.394
Sb 4.564 -0.462 11.333
Sb 1.591 -1.832 6.349
Hf 1.524 -3.995 8.235
```

Values from the calculation:
* total DFT energy (no corrections): -6.2106 eV per atom

---

No. 11
Computed, not measured: a relaxed VCrFe3 crystal at the PBE-GGA level of DFT. Values from VASP.

Cell and atoms, written as Quantum ESPRESSO input:
```
&SYSTEM
  ibrav = 0, nat = 5, ntyp = 3
/
ATOMIC_SPECIES
Fe 55.84 Fe.upf
V 50.94 V.upf
Cr 52.00 Cr.upf
CELL_PARAMETERS angstrom
4.110 0.000 0.000
0.000 4.110 0.000
0.000 0.000 4.110
ATOMIC_POSITIONS angstrom
Fe 2.055 0.000 0.000
Fe 0.000 0.000 2.055
V 2.055 2.055 2.055
Fe 0.000 2.055 0.000
Cr 0.000 0.000 0.000
```

Values from the calculation:
* energy relative to the elements: 1.175 eV per atom

---

No. 12
Computed, not measured: a relaxed Ca3Pm3Ga4 crystal at the PBE-GGA level of DFT. Values from VASP.

Cell and atoms, written as Quantum ESPRESSO input:
```
&SYSTEM
  ibrav = 0, nat = 10, ntyp = 3
/
ATOMIC_SPECIES
Ga 69.72 Ga.upf
Pm 145.00 Pm.upf
Ca 40.08 Ca.upf
CELL_PARAMETERS angstrom
4.260 0.000 0.000
0.000 8.088 -0.042
0.000 0.029 8.088
ATOMIC_POSITIONS angstrom
Ga 0.000 0.945 0.987
Ga 0.000 7.122 7.109
Pm 2.130 6.671 1.388
Ga 0.000 3.170 4.919
Ca 2.130 1.419 6.686
Ca 0.000 4.070 8.062
Pm 2.130 2.631 2.621
Ca 0.000 0.019 4.046
Ga 0.000 5.035 3.038
Pm 2.130 5.473 5.438
```

Values from the calculation:
* energy relative to the elements: -0.435 eV per atom